Material: Tl2AuCl8
Method: DFT, PBE
State: optimized geometry

Summary:
Size of the total moment ... 1.00 μB/f.u.
Energy relative to the elements, uncorrected ... -0.514 eV per atom
Space group ... No. 12
V ... 37.962 Å³/atom

Cell: 9.112 7.588 7.588 Å, 55.31 102.82 102.82°
Last column: magnetic moment on the atom in μB.
Sites, in units of the cell vectors:
Cl 0.861 0.124 0.641  0.11
Cl 0.139 0.359 0.876  0.11
Cl 0.273 0.407 0.407  0.00
Cl 0.861 0.641 0.124  0.11
Cl 0.139 0.876 0.359  0.11
Cl 0.727 0.593 0.593  0.00
Cl 0.554 0.189 0.189  0.00
Cl 0.446 0.811 0.811  0.00
Tl 0.684 0.761 0.761  0.00
Tl 0.316 0.239 0.239  0.00
Au 0.000 0.000 0.000  0.41